(1)
Below is crystalline Cd2In2Sb at its relaxed geometry, with properties calculated at the PBE level.

abc: 7.7448 7.7448 4.5593
angles: 90.00 90.00 90.00
Fractional positions:
Cd 0.6319 0.1319 0.0000
Sb 0.5000 0.5000 0.0000
Sb 0.0000 0.0000 0.0000
In 0.3265 0.1735 0.5000
In 0.8265 0.3265 0.5000
Cd 0.8681 0.6319 0.0000
Cd 0.1319 0.3681 0.0000
In 0.6735 0.8265 0.5000
In 0.1735 0.6735 0.5000
Cd 0.3681 0.8681 0.0000

Space-group type = No. 127
Total DFT energy (no corrections) = -0.081 Ha/atom
Crystal system = tetragonal
Polymorph energy (0 for the lowest one) = 0.00 eV per formula unit
Raw formation energy = 0.0778 eV/atom

(2)
Below is crystalline Li2ZrAl at its relaxed geometry, with properties calculated at the PBE level.

abc: 4.2938 2.7729 6.3513
angles: 75.58 90.00 90.00
Fractional positions:
Li 0.5000 0.1520 0.2192
Zr 0.0000 0.4568 0.5169
Li 0.0000 0.0847 0.9996
Al 0.5000 0.8066 0.7643

Space-group type = No. 6
Total DFT energy (no corrections) = -0.149 Ha/atom
Crystal system = monoclinic
E_form = -0.029 eV/atom

(3)
Below is crystalline Nd5Er12Th2 at its relaxed geometry, with properties calculated at the PBE level.

abc: 6.9996 9.7067 10.5778
angles: 70.01 90.00 111.13
Fractional positions:
Er 0.5009 0.0018 0.6720
Er 0.5793 0.6686 0.5330
Th 0.7348 0.0000 0.0000
Er 0.5984 0.6898 0.8663
Nd 0.3238 0.6475 0.2057
Er 0.4016 0.3102 0.1337
Nd 0.1846 0.3693 0.8318
Nd 0.6762 0.3525 0.7943
Er 0.0913 0.6898 0.8663
Er 0.4991 0.9982 0.3280
Th 0.2652 0.0000 0.0000
Nd 0.8154 0.6307 0.1682
Er 0.4207 0.3314 0.4670
Nd 0.0000 0.0000 0.5000
Er 0.0892 0.6686 0.5330
Er 0.9108 0.3314 0.4670
Er 0.0335 0.0669 0.7423
Er 0.9665 0.9331 0.2577
Er 0.9087 0.3102 0.1337

Space-group type = No. 12
Total DFT energy (no corrections) = -0.174 Ha/atom
Crystal system = monoclinic
E_form = 0.180 eV/atom
Polymorph energy (0 for the lowest one) = 0.72 eV per formula unit

(4)
Below is crystalline TbAlZn4Ag2 at its relaxed geometry, with properties calculated at the PBE level.

abc: 4.4029 4.4029 9.0742
angles: 75.96 75.96 60.00
Fractional positions:
Zn 0.3942 0.3942 0.8175
Zn 0.6058 0.6058 0.1825
Zn 0.1250 0.1250 0.6250
Zn 0.8750 0.8750 0.3750
Tb 0.0000 0.0000 0.0000
Ag 0.2441 0.2441 0.2678
Al 0.5000 0.5000 0.5000
Ag 0.7559 0.7559 0.7322

Space-group type = No. 166
Total DFT energy (no corrections) = -0.092 Ha/atom
Crystal system = trigonal
E_form = -0.111 eV/atom

(5)
Below is crystalline AcMg2Ir at its relaxed geometry, with properties calculated at the PBE level.

abc: 4.3105 5.8177 8.4265
angles: 90.00 90.00 111.73
Fractional positions:
Mg 0.3346 0.6691 0.9414
Ir 0.2299 0.4596 0.2500
Mg 0.6654 0.3309 0.4414
Ac 0.0557 0.1125 0.7500
Ac 0.9443 0.8875 0.2500
Mg 0.3346 0.6691 0.5586
Ir 0.7701 0.5404 0.7500
Mg 0.6654 0.3309 0.0586

Space-group type = No. 11
Total DFT energy (no corrections) = -0.165 Ha/atom
Crystal system = monoclinic
E_form = -0.440 eV/atom
Polymorph energy (0 for the lowest one) = 0.00 eV per formula unit

(6)
Below is crystalline SiSeCl2 at its relaxed geometry, with properties calculated at the PBE level.

abc: 3.2412 7.0141 7.0129
angles: 41.74 90.00 90.00
Fractional positions:
Cl 0.0000 0.8794 0.8796
Cl 0.0000 0.6206 0.6204
Se 0.5000 0.2500 0.2500
Si 0.5000 0.7500 0.7500

Space-group type = No. 65
Total DFT energy (no corrections) = -0.127 Ha/atom
Crystal system = orthorhombic
Polymorph energy (0 for the lowest one) = 0.00 eV per formula unit
Raw formation energy = -0.3068 eV/atom

(7)
Below is crystalline HoTmPa2P4 at its relaxed geometry, with properties calculated at the PBE level.

abc: 3.9648 6.8517 6.8653
angles: 70.48 90.00 90.00
Fractional positions:
P 0.0000 0.7511 0.7485
P 0.5000 0.2498 0.7489
Pa 0.5000 0.0000 0.5000
Tm 0.0000 0.5000 0.5000
Ho 0.5000 0.5000 0.0000
Pa 0.0000 0.0000 0.0000
P 0.5000 0.7502 0.2511
P 0.0000 0.2489 0.2515

Space-group type = No. 10
Total DFT energy (no corrections) = -0.281 Ha/atom
Crystal system = monoclinic
E_form = -1.450 eV/atom

(8)
Below is crystalline RbSr2Zr2 at its relaxed geometry, with properties calculated at the PBE level.

abc: 10.5649 10.5649 3.6456
angles: 90.00 90.00 90.00
Each line ends with the local moment (μB).
Fractional positions:
Rb 0.5000 0.5000 0.0000  0.01
Rb 0.0000 0.0000 0.0000  0.01
Sr 0.1920 0.6920 0.5000  0.03
Zr 0.9120 0.5880 0.0000  0.36
Zr 0.0880 0.4120 0.0000  0.36
Zr 0.4120 0.9120 0.0000  0.36
Sr 0.6920 0.8080 0.5000  0.03
Zr 0.5880 0.0880 0.0000  0.36
Sr 0.3080 0.1920 0.5000  0.03
Sr 0.8080 0.3080 0.5000  0.03

Space-group type = No. 127
Total DFT energy (no corrections) = -0.133 Ha/atom
Crystal system = tetragonal
E_form = 0.663 eV/atom
Polymorph energy (0 for the lowest one) = 0.93 eV per formula unit

(9)
Below is crystalline ScVSeN2 at its relaxed geometry, with properties calculated at the PBE level.

abc: 3.8043 3.8043 4.9854
angles: 90.00 90.00 90.00
Fractional positions:
Se 0.0000 0.0000 0.5000
N 0.5000 0.0000 0.0000
N 0.0000 0.5000 0.0000
V 0.0000 0.0000 0.0000
Sc 0.5000 0.5000 0.5000

Space-group type = No. 123
Total DFT energy (no corrections) = -0.275 Ha/atom
Crystal system = tetragonal
Polymorph energy (0 for the lowest one) = 0.00 eV per formula unit
Raw formation energy = -0.3716 eV/atom

(10)
Below is crystalline La4Y5Ho at its relaxed geometry, with properties calculated at the PBE level.

abc: 5.7878 10.8611 10.8640
angles: 90.00 90.00 90.00
Fractional positions:
Y 0.0002 0.5000 0.0000
Y 0.8495 0.6590 0.3411
La 0.6220 0.2948 0.0000
Y 0.8495 0.3410 0.6589
La 0.6218 0.0000 0.2948
Ho 0.6133 0.0000 0.0000
La 0.6218 0.0000 0.7052
Ho 0.3867 0.5000 0.5000
Y 0.1505 0.8410 0.1589
Y 0.8495 0.3410 0.3411
La 0.3782 0.5000 0.7948
La 0.3780 0.2052 0.5000
Y 0.1505 0.1590 0.8411
La 0.3780 0.7948 0.5000
La 0.6220 0.7052 0.0000
La 0.3782 0.5000 0.2052
Y 0.8495 0.6590 0.6589
Y 0.1505 0.8410 0.8411
Y 0.1505 0.1590 0.1589
Y 0.9998 0.0000 0.5000

Space-group type = No. 129
Total DFT energy (no corrections) = -0.201 Ha/atom
Crystal system = tetragonal
E_form = 0.178 eV/atom

(11)
Below is crystalline TlTeRh2 at its relaxed geometry, with properties calculated at the PBE level.

abc: 8.2221 8.2221 8.2221
angles: 23.53 23.53 23.53
Fractional positions:
Tl 0.0000 0.0000 0.0000
Rh 0.7549 0.7549 0.7549
Rh 0.2451 0.2451 0.2451
Te 0.5000 0.5000 0.5000

Space-group type = No. 166
Total DFT energy (no corrections) = -0.183 Ha/atom
Crystal system = trigonal
Polymorph energy (0 for the lowest one) = 0.32 eV per formula unit
Raw formation energy = 0.0647 eV/atom

(12)
Below is crystalline Y5Tl2Tc at its relaxed geometry, with properties calculated at the PBE level.

abc: 5.0066 6.8058 12.6462
angles: 90.00 90.00 90.00
Fractional positions:
Y 0.5000 0.1721 0.5902
Y 0.5000 0.3279 0.0902
Y 0.0000 0.3838 0.7872
Tc 0.0000 0.0000 0.5000
Tl 0.5000 0.6211 0.6550
Y 0.0000 0.6162 0.2128
Tl 0.5000 0.1211 0.8450
Y 0.5000 0.8279 0.4098
Y 0.0000 0.0000 0.0000
Y 0.0000 0.1162 0.2872
Y 0.0000 0.8838 0.7128
Tl 0.5000 0.8789 0.1550
Y 0.0000 0.5000 0.5000
Y 0.5000 0.6721 0.9098
Tc 0.0000 0.5000 0.0000
Tl 0.5000 0.3789 0.3450

Space-group type = No. 55
Total DFT energy (no corrections) = -0.227 Ha/atom
Crystal system = orthorhombic
E_form = -0.237 eV/atom

(13)
Below is crystalline SmGdBiPd at its relaxed geometry, with properties calculated at the PBE level.

abc: 5.2941 5.2941 5.2941
angles: 60.00 60.00 60.00
Each line ends with the local moment (μB).
Fractional positions:
Sm 0.7500 0.7500 0.7500  -0.24
Gd 0.2500 0.2500 0.2500  -7.22
Bi 0.5000 0.5000 0.5000  0.07
Pd 0.0000 0.0000 0.0000  -0.05

Space-group type = No. 216
Total DFT energy (no corrections) = -0.281 Ha/atom
Crystal system = cubic
E_form = -0.680 eV/atom

(14)
Below is crystalline MgAu4Se4Cl4O12 at its relaxed geometry, with properties calculated at the PBE level.

abc: 4.4966 10.6429 11.3976
angles: 83.94 84.75 85.55
Fractional positions:
Se 0.2124 0.3129 0.0747
O 0.7058 0.0620 0.9074
O 0.0964 0.6749 0.8505
O 0.9311 0.2048 0.0822
Au 0.9598 0.9539 0.5239
O 0.0404 0.9678 0.3435
Se 0.7515 0.1083 0.7522
O 0.9879 0.7749 0.2316
O 0.7216 0.6882 0.0488
Cl 0.6314 0.1263 0.4901
Mg 0.2039 0.6100 0.7034
Cl 0.3029 0.7732 0.5451
Cl 0.3192 0.5070 0.3043
O 0.3449 0.9748 0.1401
O 0.9414 0.4388 0.0978
O 0.8606 0.9511 0.7012
Au 0.0157 0.6027 0.1648
Cl 0.7192 0.5094 0.6555
Au 0.0305 0.0301 0.0216
Au 0.9853 0.3978 0.8088
Se 0.8440 0.7769 0.9184
Se 0.2790 0.8647 0.2617
O 0.0729 0.1776 0.7297
O 0.1335 0.8603 0.9623
O 0.3115 0.3390 0.9244

Space-group type = No. 1
Total DFT energy (no corrections) = -0.162 Ha/atom
Crystal system = triclinic
Polymorph energy (0 for the lowest one) = 1.77 eV per formula unit
Raw formation energy = -0.5773 eV/atom

(15)
Below is crystalline LiCoSn2H at its relaxed geometry, with properties calculated at the PBE level.

abc: 4.8025 4.0471 4.8025
angles: 90.00 90.00 90.00
Each line ends with the local moment (μB).
Fractional positions:
Sn 0.5000 0.0000 0.0000  -0.05
Sn 0.0000 0.0000 0.5000  -0.03
H 0.5000 0.5000 0.5000  0.05
Co 0.0000 0.5000 0.0000  1.36
Li 0.0000 0.0000 0.0000  -0.02

Space-group type = No. 123
Total DFT energy (no corrections) = -0.114 Ha/atom
Crystal system = tetragonal

(16)
Below is crystalline PrY4Er3 at its relaxed geometry, with properties calculated at the PBE level.

abc: 6.2968 7.2970 11.3131
angles: 90.00 90.00 90.00
Fractional positions:
Y 0.4831 0.8744 0.7520
Y 0.9831 0.1256 0.7480
Er 0.9800 0.6243 0.2500
Y 0.1466 0.8744 0.5000
Er 0.4800 0.3757 0.2500
Er 0.6484 0.6248 0.0000
Er 0.4800 0.3757 0.7500
Y 0.4831 0.8744 0.2480
Y 0.6453 0.1263 0.5000
Er 0.9800 0.6243 0.7500
Y 0.1453 0.8737 0.0000
Pr 0.6488 0.6237 0.5000
Pr 0.1488 0.3763 0.0000
Y 0.6466 0.1256 0.0000
Y 0.9831 0.1256 0.2520
Er 0.1484 0.3752 0.5000

Space-group type = No. 31
Total DFT energy (no corrections) = -0.203 Ha/atom
Crystal system = orthorhombic
E_form = 0.006 eV/atom
Polymorph energy (0 for the lowest one) = 0.00 eV per formula unit

(17)
Below is crystalline SmScPt6 at its relaxed geometry, with properties calculated at the PBE level.

abc: 4.0942 4.0942 8.1706
angles: 90.00 90.00 90.00
Fractional positions:
Sm 0.0000 0.0000 0.0000
Sc 0.0000 0.0000 0.5000
Pt 0.5000 0.0000 0.2628
Pt 0.5000 0.5000 0.5000
Pt 0.0000 0.5000 0.7372
Pt 0.5000 0.5000 0.0000
Pt 0.0000 0.5000 0.2628
Pt 0.5000 0.0000 0.7372

Space-group type = No. 123
Total DFT energy (no corrections) = -0.254 Ha/atom
Crystal system = tetragonal
E_form = -0.986 eV/atom

(18)
Below is crystalline AlCd2Te at its relaxed geometry, with properties calculated at the PBE level.

abc: 6.6258 6.6258 6.6258
angles: 146.12 141.19 52.45
Fractional positions:
Cd 0.7314 0.2314 0.5000
Al 0.2655 0.7655 0.5000
Cd 0.0596 0.0596 0.0000
Te 0.4435 0.4435 0.0000

Space-group type = No. 44
Total DFT energy (no corrections) = -0.079 Ha/atom
Crystal system = orthorhombic
Polymorph energy (0 for the lowest one) = 0.19 eV per formula unit
Raw formation energy = 0.0232 eV/atom

(19)
Below is crystalline PmPr2PbN at its relaxed geometry, with properties calculated at the PBE level.

abc: 4.9917 5.0871 5.0871
angles: 90.00 90.00 90.00
Fractional positions:
Pr 0.0000 0.0000 0.5000
Pb 0.5000 0.5000 0.5000
Pm 0.5000 0.0000 0.0000
Pr 0.0000 0.5000 0.0000
N 0.0000 0.0000 0.0000

Space-group type = No. 123
Total DFT energy (no corrections) = -0.226 Ha/atom
Crystal system = tetragonal
Raw formation energy = -0.8698 eV/atom

(20)
Below is crystalline RuRh2Au at its relaxed geometry, with properties calculated at the PBE level.

abc: 2.7849 3.8226 5.6434
angles: 90.00 90.00 90.00
Fractional positions:
Au 0.5000 0.5000 0.7500
Rh 0.0000 0.0000 0.0172
Ru 0.5000 0.5000 0.2500
Rh 0.0000 0.0000 0.4828

Space-group type = No. 47
Total DFT energy (no corrections) = -0.245 Ha/atom
Crystal system = orthorhombic
E_form = 0.155 eV/atom
Polymorph energy (0 for the lowest one) = 0.32 eV per formula unit